1.
Below is a relaxed Nd2ErSc crystal, with properties calculated at the PBE-GGA level.

Structure (POSCAR):
```
Nd2ErSc
1.0
3.6098 0.0000 0.0000
0.0000 3.6098 0.0000
0.0000 0.0000 9.5587
Sc Nd Er
1 2 1
Cartesian
1.8049 1.8049 0.0000
0.0000 0.0000 7.2684
0.0000 0.0000 2.2903
1.8049 1.8049 4.7793
```

Output
ΔE to the lowest computed polymorph ... 0.000 eV per atom
Formation enthalpy at 0 K ... 3.8 kJ/mol of atoms

---

2.
Below is a relaxed TeRu2 crystal, with properties calculated at the PBE-GGA level.

Structure (POSCAR):
```
TeRu2
1.0
4.1143 1.4496 3.0229
0.9124 5.1408 0.9519
-0.8400 1.9910 4.8474
Te Ru
2 4
Cartesian
2.0933 4.2907 4.4111
3.1400 6.4360 6.6167
2.5805 1.7974 2.6142
0.9795 3.6431 1.5788
0.1033 2.0681 3.5265
0.5233 1.0727 1.1028
```

Output
ΔE to the lowest computed polymorph ... 0.643 eV per atom
Formation energy (no corrections) ... 0.757 eV per atom

---

3.
Below is a relaxed Li2RePt crystal, with properties calculated at the PBE-GGA level.

Structure (POSCAR):
```
Li2RePt
1.0
-4.1171 0.7925 -0.7725
0.3207 -1.9310 -3.7873
1.1545 -2.0527 3.5538
Li Pt Re
2 1 1
Cartesian
0.0000 0.0000 0.0000
-0.2115 -2.2765 -1.2568
-1.8982 -0.5693 -2.2799
-2.4304 -0.9147 0.2507
```

Output
ΔE to the lowest computed polymorph ... 0.202 eV per atom
Formation enthalpy at 0 K ... 7.1 kJ/mol of atoms

---

4.
Below is a relaxed BePSCl2 crystal, with properties calculated at the PBE-GGA level.

Structure (POSCAR):
```
BePSCl2
1.0
-2.2048 2.4577 2.2704
-0.8039 -3.0285 2.4976
6.9083 1.9543 4.5932
P S Be Cl
1 1 1 2
Cartesian
3.4542 0.9772 2.2966
1.9498 0.6918 4.6806
0.0000 0.0000 0.0000
-0.4020 -1.5142 1.2488
-1.1024 1.2288 1.1352
```

Output
ΔE to the lowest computed polymorph ... 0.010 eV per atom
Formation energy (no corrections) ... 0.173 eV per atom

---

5.
Below is a relaxed DySi2Pt2 crystal, with properties calculated at the PBE-GGA level.

Structure (POSCAR):
```
DySi2Pt2
1.0
-1.7509 3.6903 4.0344
2.1103 -0.6415 5.3005
2.0742 0.2864 -5.3456
Dy Si Pt
1 2 2
Cartesian
0.0000 0.0000 0.0000
0.2223 1.8855 5.7733
0.1371 1.1632 3.5616
0.2515 2.7505 1.6781
2.1821 0.5846 2.3112
```

Output
Formation energy (no corrections) ... -1.036 eV per atom

---

6.
Below is a relaxed Pm3ZnSi crystal, with properties calculated at the PBE-GGA level.

Structure (POSCAR):
```
Pm3ZnSi
1.0
-3.8464 0.8021 -1.9245
-1.0893 -7.1924 -0.8202
-4.1054 -0.2997 8.0802
Pm Zn Si
6 2 2
Cartesian
-3.9877 -4.8136 -1.4957
-5.0533 -1.8764 6.8312
-6.7212 -6.7102 3.1771
-6.2014 -3.2782 3.5684
-2.3199 0.0201 2.1583
-2.8396 -3.4118 1.7670
-3.8135 -1.2445 -0.3566
-5.2276 -5.4456 5.6920
-5.3231 -4.9111 1.1325
-3.7180 -1.7789 4.2029
```

Output
Formation energy (no corrections) ... -0.318 eV per atom

---

7.
Below is a relaxed BeOsRu2 crystal, with properties calculated at the PBE-GGA level.

Structure (POSCAR):
```
BeOsRu2
1.0
4.3046 0.0000 0.0000
0.0000 4.3046 0.0000
0.0000 0.0000 2.8584
Ru Os Be
2 1 1
Cartesian
0.0000 0.0000 0.0000
2.1523 2.1523 0.0000
0.0000 2.1523 1.4292
2.1523 0.0000 1.4292
```

Output
Formation enthalpy at 0 K ... 23.0 kJ/mol of atoms

---

8.
Below is a relaxed DyTmGe crystal, with properties calculated at the PBE-GGA level.

Structure (POSCAR):
```
DyTmGe
1.0
-2.9878 -2.6562 -0.3669
1.3029 -0.8408 -4.5231
6.1517 -4.2663 2.5652
Dy Tm Ge
2 2 2
Cartesian
0.6147 -4.4370 -1.6538
4.2570 -2.9748 1.6509
-1.5799 -2.1864 -0.1763
0.2996 -0.9587 -2.3906
3.6605 -4.9967 -0.6734
1.2112 -2.4130 0.6677
```

Output
Formation enthalpy at 0 K ... -49.2 kJ/mol of atoms

---

9.
Below is a relaxed Tb3Pm5Tm3 crystal, with properties calculated at the PBE-GGA level.

Structure (POSCAR):
```
Tb3Pm5Tm3
1.0
-3.2054 -1.1878 -0.4041
1.6837 -0.7767 -11.0710
2.3877 -8.7109 6.6650
Tb Pm Tm
3 5 3
Cartesian
1.0034 -0.4629 -6.5980
1.4230 -5.1914 3.9722
1.6450 -3.8333 -1.7801
0.3157 -4.0154 -5.3610
0.5504 -6.6601 0.5510
-1.0335 -0.8565 -3.9447
1.0923 -6.8742 -3.1185
-0.7955 -3.5387 2.0511
-0.1869 -1.2470 -9.5113
-0.9548 -2.1037 -0.9032
0.4051 -7.9187 5.4024
```

Output
ΔE to the lowest computed polymorph ... 0.000 eV per atom
Formation enthalpy at 0 K ... 31.2 kJ/mol of atoms

---

10.
Below is a relaxed InRhPb2 crystal, with properties calculated at the PBE-GGA level.

Structure (POSCAR):
```
InRhPb2
1.0
-2.2994 2.2994 4.4952
2.2994 -2.2994 4.4952
2.2994 2.2994 -4.4952
In Rh Pb
1 1 2
Cartesian
0.0000 2.2994 2.2476
0.0000 0.0000 4.4952
0.0000 0.0000 0.0000
2.2994 0.0000 2.2476
```

Output
Formation enthalpy at 0 K ... 21.4 kJ/mol of atoms

---

11.
Below is a relaxed CsSmUS4 crystal, with properties calculated at the PBE-GGA level.

Structure (POSCAR):
```
CsSmUS4
1.0
-5.6337 -6.4062 -0.2933
6.0183 0.1121 6.1663
-6.6677 5.8633 0.0085
Cs Sm U S
2 2 2 8
Cartesian
-1.2470 -4.7857 4.2676
-5.0361 4.3550 1.6140
-6.1507 -0.2714 -0.1424
-2.8169 -3.2031 -0.1466
-3.1416 -0.2154 2.9408
-0.3247 2.9877 3.0874
-5.8276 -0.6840 2.6630
-3.3249 -0.4199 0.2474
-5.6573 -3.0721 0.1259
-3.2633 -2.9389 2.6597
-3.0198 2.5082 3.2219
-2.9583 -0.0109 5.6342
-0.6258 2.6414 5.7557
-0.4555 0.2532 3.2186
```

Output
Formation energy (no corrections) ... -1.544 eV per atom

---

12.
Below is a relaxed ZnSbW2 crystal, with properties calculated at the PBE-GGA level.

Structure (POSCAR):
```
ZnSbW2
1.0
-3.6076 2.0363 3.2524
-4.6698 0.9345 -2.2493
3.5001 -3.7909 1.0572
Sb W Zn
1 2 1
Cartesian
-2.6542 -0.6855 -0.3453
-8.2482 2.9604 0.9995
-4.1678 1.4959 0.5051
-2.1231 -0.1346 2.4055
```

Output
ΔE to the lowest computed polymorph ... 0.276 eV per atom
Formation energy (no corrections) ... 0.592 eV per atom

---

13.
Below is a relaxed DyEr6Al2 crystal, with properties calculated at the PBE-GGA level.

Structure (POSCAR):
```
DyEr6Al2
1.0
0.2144 1.2069 3.4122
-4.6217 -3.0834 3.3073
5.3425 -8.9762 4.7654
Dy Er Al
1 6 2
Cartesian
0.0000 0.0000 0.0000
-1.5000 -1.8325 4.5949
2.4353 -9.0203 6.8899
-0.4540 -7.3391 6.4768
-1.2876 -3.9894 7.2707
2.2228 -6.8634 4.2141
1.3892 -3.5137 5.0080
0.7672 -1.7048 2.4810
0.1680 -9.1480 9.0038
```

Output
Formation enthalpy at 0 K ... -16.6 kJ/mol of atoms

---

14.
Below is a relaxed Pm3Ho6Tl crystal, with properties calculated at the PBE-GGA level.

Structure (POSCAR):
```
Pm3Ho6Tl
1.0
3.5642 0.0000 0.0000
0.0000 12.7842 -1.8839
0.0000 -6.2277 14.8066
Pm Ho Tl
6 12 2
Cartesian
2.6732 -0.6386 12.5432
0.8911 7.1951 0.3794
2.6732 4.8478 6.2172
0.8911 1.7087 6.7055
2.6732 1.0315 1.1275
0.8911 5.5250 11.7952
2.6732 3.1669 9.4016
0.8911 3.3896 3.5211
2.6732 10.3085 -0.0502
0.8911 -3.7520 12.9729
2.6732 4.2672 0.7551
0.8911 2.2893 12.1675
2.6732 6.5851 3.3370
0.8911 -0.0286 9.5856
2.6732 -1.5071 6.8453
0.8911 8.0636 6.0773
2.6732 6.8459 8.9624
0.8911 -0.2894 3.9603
2.6732 -2.8290 10.0471
0.8911 9.3855 2.8755
```

Output
ΔE to the lowest computed polymorph ... 0.000 eV per atom
Formation enthalpy at 0 K ... -0.6 kJ/mol of atoms

---

15.
Below is a relaxed K3Rb3GeI8 crystal, with properties calculated at the PBE-GGA level.

Structure (POSCAR):
```
K3Rb3GeI8
1.0
-9.1200 -1.8808 4.0393
1.1964 -0.0581 -10.0795
4.0712 -7.6276 5.6406
K Rb Ge I
3 3 1 8
Cartesian
-2.5244 -4.7542 4.8399
-1.9262 -4.7832 -0.1998
2.6338 -3.8428 -2.2194
0.0000 0.0000 0.0000
0.5982 -0.0290 -5.0397
-3.9618 -0.9695 -3.0201
2.0356 -3.8138 2.8203
-0.6415 -2.5062 -2.6156
-3.2109 -7.0603 2.2160
-5.2955 -3.7436 -0.9465
1.4431 -5.8229 0.5469
-5.9727 -3.7120 4.7640
2.1202 -5.8545 -5.1636
-0.8064 -2.6466 2.4758
-3.0461 -6.9199 -2.8755
```

Output
Formation energy (no corrections) ... -1.250 eV per atom

---

16.
Below is a relaxed SmZnH8Rh4 crystal, with properties calculated at the PBE-GGA level.

Structure (POSCAR):
```
SmZnH8Rh4
1.0
5.7476 0.0000 0.0000
2.8738 4.9776 0.0000
2.8738 1.6592 4.4887
Sm Zn H Rh
1 1 8 4
Cartesian
5.7477 3.3184 3.7740
8.6215 4.9776 0.0853
5.7476 5.3893 3.0353
7.5411 2.2830 3.0353
3.9542 2.2830 3.0353
2.8738 1.6592 1.4818
5.7476 1.9162 1.5457
4.5333 4.0195 1.5457
6.9620 4.0195 1.5457
8.6215 4.9776 3.1446
5.7476 3.3184 0.4500
2.8738 3.3376 2.1660
4.3274 0.8200 2.1660
1.4203 0.8200 2.1660
```

Output
Total DFT energy (no corrections) ... -65.140 eV per cell

---

17.
Below is a relaxed Pm3Nd2Sm6Tm crystal, with properties calculated at the PBE-GGA level.

Structure (POSCAR):
```
Pm3Nd2Sm6Tm
1.0
6.2867 0.0003 0.0018
-3.1416 5.4455 0.0018
-1.0543 -1.8255 11.8675
Pm Nd Sm Tm
3 2 6 1
Cartesian
-2.0985 3.6259 5.9356
4.1894 -0.0056 5.9356
1.0454 1.8101 5.9356
0.0023 3.6298 0.0018
3.1429 1.8160 0.0018
3.1355 1.8164 8.9137
2.0988 3.6341 2.9643
-1.0447 1.8039 2.9574
0.0063 3.6237 8.9137
-0.0080 -0.0138 8.9069
2.0845 -0.0034 2.9574
0.0000 0.0000 0.0000
```

Output
Formation enthalpy at 0 K ... 1.3 kJ/mol of atoms

---

18.
Below is a relaxed Na2AgRuO4 crystal, with properties calculated at the PBE-GGA level.

Structure (POSCAR):
```
Na2AgRuO4
1.0
6.6725 1.1256 0.6501
1.1209 6.6733 0.6501
-3.2901 -3.2924 5.2932
Na Ag Ru O
4 2 2 8
Cartesian
3.3363 0.5628 0.3251
1.6912 -1.0834 2.9716
-1.6450 -1.6462 2.6466
3.8967 3.8994 0.6501
0.5605 3.3366 0.3251
5.5879 2.8160 3.6217
2.2516 2.2532 3.2967
3.3824 -2.1668 5.9432
2.5574 5.7664 1.2322
3.1595 0.8175 2.7145
1.3438 3.6890 3.8788
1.9460 -1.2599 5.3611
6.6261 6.3044 1.6928
3.7453 3.4216 2.9041
0.7580 1.0849 3.6893
-2.1228 -1.7979 4.9006
```

Output
Formation energy (no corrections) ... -0.864 eV per atom

---

19.
Below is a relaxed In2SiAu crystal, with properties calculated at the PBE-GGA level.

Structure (POSCAR):
```
In2SiAu
1.0
6.2959 0.0000 0.0000
0.0000 6.2959 0.0000
3.1479 3.1479 6.0131
Si Au In
2 2 4
Cartesian
3.1479 3.1479 0.0000
3.1479 6.2959 3.0066
0.0000 0.0000 0.0000
6.2959 3.1479 3.0066
4.5872 1.5740 1.5033
1.7087 4.7219 1.5033
4.7219 4.8567 4.5098
7.8699 7.7351 4.5098
```

Output
Formation energy (no corrections) ... 0.282 eV per atom

---

20.
Below is a relaxed Li4SeI2 crystal, with properties calculated at the PBE-GGA level.

Structure (POSCAR):
```
Li4SeI2
1.0
-0.6683 3.2966 -7.5005
-1.8203 -7.3971 -3.0890
-11.1390 1.9659 1.8565
Li Se I
16 4 8
Cartesian
-7.8307 -5.3989 -3.6287
-7.5001 -3.6570 -7.9947
-9.1250 0.0390 0.5405
-0.9364 2.4065 -5.9144
-12.1088 -0.6661 -1.1896
-3.5469 0.6705 -4.3128
-10.0761 -2.8059 -4.4210
-6.7131 -2.3363 -2.4044
-1.3495 -0.7805 -7.2561
-7.0838 -0.4864 -6.6159
-9.0588 1.3476 -2.6861
-4.5733 -3.4814 -6.0461
-3.4717 2.0156 -7.5241
-10.9879 2.3802 0.0717
-5.2117 -2.0485 -9.1553
-9.4468 -4.2753 -1.3271
-6.9430 -4.5987 -1.4026
-8.5183 2.2835 -0.4485
-3.2890 2.9790 -5.1955
-0.4468 -1.8155 -0.7581
-11.6220 -1.3699 -6.3556
-2.9288 -4.5162 -3.9440
-7.9140 1.8902 -5.2531
-4.7904 -0.2732 -1.9133
-4.1960 -0.7350 -6.7049
-0.7894 -0.2018 -4.5229
-7.2687 -2.9157 -5.1384
-9.4316 -1.3996 -2.0281
```

Output
ΔE to the lowest computed polymorph ... 0.000 eV per atom
Formation energy (no corrections) ... -1.179 eV per atom

---

21.
Below is a relaxed KY3Sn crystal, with properties calculated at the PBE-GGA level.

Structure (POSCAR):
```
KY3Sn
1.0
-3.8374 2.7848 -2.5109
-3.2500 -0.6784 4.2146
1.8701 4.5354 2.1721
Y K Sn
3 1 1
Cartesian
-1.6250 -0.3392 2.1073
0.9351 2.2677 1.0861
-1.9187 1.3924 -1.2554
0.0000 0.0000 0.0000
-2.6086 3.3209 1.9379
```

Output
ΔE to the lowest computed polymorph ... 0.821 eV per atom
Formation enthalpy at 0 K ... 103.6 kJ/mol of atoms

---

22.
Below is a relaxed Os2PtSe crystal, with properties calculated at the PBE-GGA level.

Structure (POSCAR):
```
Os2PtSe
1.0
4.5628 -0.0120 0.0000
0.7067 4.5078 0.0000
-2.6348 -2.2479 2.9706
Os Pt Se
2 1 1
Cartesian
0.0000 0.0000 0.0000
2.6348 2.2479 0.0000
0.3533 2.2539 1.4853
2.2814 -0.0060 1.4853
```

Output
Formation energy (no corrections) ... 0.760 eV per atom

---

23.
Below is a relaxed RbCa2NiHg crystal, with properties calculated at the PBE-GGA level.

Structure (POSCAR):
```
RbCa2NiHg
1.0
-1.5785 0.1056 -5.2925
-4.6707 -2.6268 1.3406
-2.4065 4.6931 0.8114
Ni Ca Hg Rb
1 2 1 1
Cartesian
0.0000 0.0000 0.0000
-2.3353 -1.3134 0.6703
-0.7892 0.0528 -2.6462
-1.2033 2.3465 0.4057
-4.3278 1.0859 -1.5702
```

Output
Formation enthalpy at 0 K ... -1.8 kJ/mol of atoms

---

no.,calculated volume (Å³/cell)
1,124.6
2,105.7
3,54.7
4,136.8
5,86.7
6,290.4
7,53.0
8,147.0
9,375.6
10,95.1
11,456.8
12,68.2
13,248.9
14,632.9
15,758.1
16,128.4
17,406.3
18,252.8
19,238.3
20,774.5
21,154.4
22,61.1
23,162.8